No. 1
Material: Sc4Pd2Au
Method: DFT, GGA-PBE
State: relaxed

- DFT formation energy: -462 kJ/mol of formula units
- Space-group type: R-3m (166)

Lattice parameters (Å, degrees): 4.6777 4.6777 8.0147 73.03 73.03 60.00
Sites, in units of the cell vectors:
Pd: 0.7488 0.7488 0.7537
Pd: 0.2512 0.2512 0.2463
Sc: 0.8710 0.8710 0.3870
Sc: 0.3804 0.3804 0.8589
Sc: 0.1290 0.1290 0.6130
Sc: 0.6196 0.6196 0.1411
Au: 0.0000 0.0000 0.0000

***

No. 2
Material: ScPd8Au2
Method: DFT, GGA-PBE
State: relaxed

- DFT formation energy: -162 kJ/mol of formula units
- ΔE to the lowest computed polymorph: 14 meV/atom
- Space-group type: C2/m (12)

Lattice parameters (Å, degrees): 5.1121 7.5837 7.4281 59.30 70.68 49.60
Sites, in units of the cell vectors:
Pd: 0.8812 0.3257 0.7742
Pd: 0.1188 0.9001 0.7742
Pd: 0.5000 0.7865 0.4269
Pd: 0.3211 0.4122 0.0000
Pd: 0.6789 0.5878 0.0000
Pd: 0.8812 0.0999 0.2258
Pd: 0.5000 0.2135 0.5731
Pd: 0.1188 0.6743 0.2258
Au: 0.0000 0.3083 0.3835
Au: 0.0000 0.6917 0.6165
Sc: 0.5000 0.0000 0.0000

***

No. 3
Material: ScPd6Au
Method: DFT, GGA-PBE
State: relaxed

- DFT formation energy: -348 kJ/mol of formula units
- ΔE to the lowest computed polymorph: 0 meV/atom
- Space-group type: P4/mmm (123)

Lattice parameters (Å, degrees): 4.0282 5.6499 5.6499 89.99 90.00 90.00
Sites, in units of the cell vectors:
Pd: 0.5000 0.0000 0.5000
Pd: 0.0000 0.2485 0.2485
Pd: 0.0000 0.7517 0.2483
Pd: 0.0000 0.7515 0.7515
Pd: 0.5000 0.5000 0.0000
Pd: 0.0000 0.2483 0.7517
Au: 0.5000 0.5000 0.5000
Sc: 0.5000 0.0000 0.0000

***

No. 4
Material: Sc2Pd3Au3
Method: DFT, GGA-PBE
State: relaxed

- DFT formation energy: -531 kJ/mol of formula units
- ΔE to the lowest computed polymorph: 0 meV/atom
- Space-group type: R32 (155)

Lattice parameters (Å, degrees): 5.2348 5.2348 5.2348 85.94 85.94 94.06
Sites, in units of the cell vectors:
Au: 0.2640 0.7360 0.0000
Au: 0.7360 0.0000 0.7360
Au: 0.0000 0.2640 0.2640
Sc: 0.7324 0.7324 0.2676
Sc: 0.2676 0.2676 0.7324
Pd: 0.5000 0.2093 0.2093
Pd: 0.7907 0.5000 0.7907
Pd: 0.2093 0.7907 0.5000